# 1
Material: ZrMnZnNi
Method: DFT, PBE
State: optimized geometry

Lattice parameters (Å, degrees): 4.4493 4.4493 4.4493 60.00 60.00 60.00
Closest atoms and distances in Å follow each position.
Fractional positions:
Zn 0.0000 0.0000 0.0000  4 Mn 2.72, 4 Zr 2.72
Mn 0.7500 0.7500 0.7500  4 Ni 2.72, 4 Zn 2.72
Zr 0.2500 0.2500 0.2500  4 Ni 2.72, 4 Zn 2.72
Ni 0.5000 0.5000 0.5000  4 Zr 2.72, 4 Mn 2.72

---

# 2
Material: ZrMn2Ni
Method: DFT, PBE
State: optimized geometry

Lattice parameters (Å, degrees): 4.9155 4.9155 4.9155 134.51 134.51 66.29
Closest atoms and distances in Å follow each position.
Fractional positions:
Mn 0.5000 0.5000 0.0000  4 Mn 2.69, 4 Ni 2.80, 4 Zr 2.80
Mn 0.0000 0.0000 0.0000  4 Mn 2.69, 4 Zr 2.80, 4 Ni 2.80
Zr 0.7500 0.2500 0.5000  4 Ni 2.69, 8 Mn 2.80
Ni 0.2500 0.7500 0.5000  4 Zr 2.69, 8 Mn 2.80

---

# 3
Material: ZrMn2Ni
Method: DFT, PBE
State: optimized geometry

Lattice parameters (Å, degrees): 4.8681 5.0489 2.8325 77.37 82.64 116.50
Closest atoms and distances in Å follow each position.
Fractional positions:
Mn 0.0000 0.0000 0.0000  2 Zr 2.61, 2 Ni 2.61, 4 Mn 2.65-2.83
Ni 0.0000 0.5000 0.5000  4 Mn 2.61, 2 Zr 2.65, 2 Ni 2.83
Zr 0.5000 0.5000 0.0000  4 Mn 2.61, 2 Ni 2.65, 2 Zr 2.83
Mn 0.5000 0.0000 0.5000  2 Ni 2.61, 2 Zr 2.61, 4 Mn 2.65-2.83

---

# 4
Material: Zr3MnNi
Method: DFT, PBE
State: optimized geometry

Lattice parameters (Å, degrees): 4.7737 4.7737 4.7737 90.00 90.00 90.00
Closest atoms and distances in Å follow each position.
Fractional positions:
Ni 0.0000 0.0000 0.0000  6 Zr 2.39
Zr 0.5000 0.0000 0.0000  2 Ni 2.39
Zr 0.0000 0.0000 0.5000  2 Ni 2.39
Zr 0.0000 0.5000 0.0000  2 Ni 2.39
Mn 0.5000 0.5000 0.5000  12 Zr 3.38

---

# 5
Material: Zr2MnNi
Method: DFT, PBE
State: optimized geometry

Lattice parameters (Å, degrees): 3.2078 3.2058 7.1528 63.30 90.00 90.00
Closest atoms and distances in Å follow each position.
Fractional positions:
Zr 0.0000 0.5069 0.4931  4 Mn 2.75, 4 Ni 2.80
Ni 0.5000 0.7500 0.7500  8 Zr 2.80
Zr 0.0000 0.9931 0.0069  4 Mn 2.75, 4 Ni 2.80
Mn 0.5000 0.2500 0.2500  8 Zr 2.75

---

# 6
Material: Zr2MnNi
Method: DFT, PBE
State: optimized geometry

Lattice parameters (Å, degrees): 5.6933 5.6933 4.2698 67.96 67.96 32.95
Closest atoms and distances in Å follow each position.
Fractional positions:
Zr 0.7609 0.7609 0.7391  4 Ni 2.71
Ni 0.2203 0.2203 0.2797  2 Mn 2.49, 4 Zr 2.71
Zr 0.9873 0.9873 0.0127  4 Mn 2.71
Mn 0.5315 0.5315 0.4686  2 Ni 2.49, 4 Zr 2.71

---

# 7
Material: ZrMn2Ni
Method: DFT, PBE
State: optimized geometry

Lattice parameters (Å, degrees): 3.6485 3.6485 9.3824 78.79 78.79 90.00
Closest atoms and distances in Å follow each position.
Fractional positions:
Mn 0.1994 0.6250 0.2500  2 Mn 2.23
Mn 0.5506 0.1250 0.2500  2 Mn 2.23
Mn 0.8750 0.8006 0.7500  2 Mn 2.23
Ni 0.5000 0.5000 0.0000  4 Mn 2.52, 4 Zr 2.58
Mn 0.3750 0.4494 0.7500  2 Mn 2.23
Ni 0.2500 0.7500 0.5000  4 Mn 2.52, 4 Zr 2.58
Zr 0.0000 0.0000 0.0000  4 Ni 2.58, 4 Mn 2.71
Zr 0.7500 0.2500 0.5000  4 Ni 2.58, 4 Mn 2.71

---

# 8
Material: ZrMn3Ni
Method: DFT, PBE
State: optimized geometry

Lattice parameters (Å, degrees): 4.6776 4.6776 4.6776 90.00 90.00 90.00
Closest atoms and distances in Å follow each position.
Fractional positions:
Mn 0.0000 0.0000 0.5000  2 Zr 2.34
Mn 0.5000 0.0000 0.0000  2 Zr 2.34
Zr 0.0000 0.0000 0.0000  6 Mn 2.34
Ni 0.5000 0.5000 0.5000  12 Mn 3.31
Mn 0.0000 0.5000 0.0000  2 Zr 2.34

---

# 9
Material: ZrMn2Ni
Method: DFT, PBE
State: optimized geometry

Lattice parameters (Å, degrees): 8.9483 8.9483 8.9483 18.34 18.34 18.34
Closest atoms and distances in Å follow each position.
Fractional positions:
Mn 0.0057 0.0057 0.0057  9 Mn 2.70-2.85, 3 Zr 2.94
Ni 0.4941 0.4941 0.4941  3 Mn 2.55, 3 Zr 2.80, 6 Ni 2.85
Mn 0.7536 0.7536 0.7536  3 Ni 2.55, 9 Mn 2.70-2.85
Zr 0.2466 0.2466 0.2466  3 Ni 2.80, 6 Zr 2.85, 3 Mn 2.94

---

# 10
Material: ZrMn2Ni
Method: DFT, PBE
State: optimized geometry

Lattice parameters (Å, degrees): 8.9446 8.9446 8.9446 18.46 18.46 18.46
Closest atoms and distances in Å follow each position.
Fractional positions:
Mn 0.4892 0.4892 0.4892  3 Ni 2.53
Ni 0.7500 0.7500 0.7500  6 Mn 2.53
Mn 0.0108 0.0108 0.0108  3 Ni 2.53
Zr 0.2500 0.2500 0.2500  6 Zr 2.87, 6 Mn 2.99

---

# 11
Material: Zr2MnNi
Method: DFT, PBE
State: optimized geometry

Lattice parameters (Å, degrees): 7.9288 7.9288 7.9288 23.41 23.41 23.41
Closest atoms and distances in Å follow each position.
Fractional positions:
Mn 0.2500 0.2500 0.2500  6 Zr 2.65
Zr 0.5017 0.5017 0.5017  3 Mn 2.65, 3 Ni 2.70
Zr 0.9983 0.9983 0.9983  3 Mn 2.65, 3 Ni 2.70
Ni 0.7500 0.7500 0.7500  6 Zr 2.70

---

# 12
Material: ZrMn2Ni
Method: DFT, PBE
State: optimized geometry

Lattice parameters (Å, degrees): 3.0369 3.0462 7.2168 65.04 90.00 90.00
Closest atoms and distances in Å follow each position.
Fractional positions:
Zr 0.5000 0.7500 0.7500  8 Mn 2.87, 4 Zr 3.04-3.05
Mn 0.0000 0.5413 0.4589  4 Ni 2.55, 1 Mn 2.73
Ni 0.5000 0.2500 0.2500  8 Mn 2.55
Mn 0.0000 0.9587 0.0411  4 Ni 2.55, 1 Mn 2.73

---

# 13
Material: Zr2MnNi
Method: DFT, PBE
State: optimized geometry

Lattice parameters (Å, degrees): 4.2627 4.2627 5.6728 78.53 78.53 43.70
Closest atoms and distances in Å follow each position.
Fractional positions:
Ni 0.2500 0.2500 0.2500  6 Zr 2.69-2.70
Mn 0.7500 0.7500 0.7500  6 Zr 2.64-2.70
Zr 0.9974 0.9974 0.9959  3 Mn 2.64-2.70, 3 Ni 2.69-2.70
Zr 0.5026 0.5026 0.5041  3 Mn 2.64-2.70, 3 Ni 2.69-2.70

---

# 14
Material: ZrMn2Ni
Method: DFT, PBE
State: optimized geometry

Lattice parameters (Å, degrees): 4.3648 4.3648 4.3648 60.00 60.00 60.00
Closest atoms and distances in Å follow each position.
Fractional positions:
Zr 0.7500 0.7500 0.7500  4 Mn 2.67, 4 Ni 2.67
Ni 0.5000 0.5000 0.5000  4 Mn 2.67, 4 Zr 2.67
Mn 0.2500 0.2500 0.2500  4 Mn 2.67, 4 Ni 2.67
Mn 0.0000 0.0000 0.0000  4 Zr 2.67, 4 Mn 2.67

---

# 15
Material: ZrMn2Ni
Method: DFT, PBE
State: optimized geometry

Lattice parameters (Å, degrees): 4.3262 4.3262 4.3262 60.00 60.00 60.00
Closest atoms and distances in Å follow each position.
Fractional positions:
Ni 0.0000 0.0000 0.0000  8 Mn 2.65
Mn 0.2500 0.2500 0.2500  4 Zr 2.65, 4 Ni 2.65
Zr 0.5000 0.5000 0.5000  8 Mn 2.65
Mn 0.7500 0.7500 0.7500  4 Ni 2.65, 4 Zr 2.65

---

# 16
Material: Zr3MnNi8
Method: DFT, PBE
State: optimized geometry

Lattice parameters (Å, degrees): 4.8633 4.8633 8.4685 73.31 73.31 60.00
Closest atoms and distances in Å follow each position.
Fractional positions:
Zr 0.5070 0.5070 0.4789  12 Ni 2.73-2.94, 3 Mn 2.89
Ni 0.4374 0.9384 0.6857  6 Ni 2.43-2.44
Ni 0.1883 0.1883 0.4351  6 Ni 2.42-2.44
Ni 0.4362 0.9410 0.1866  6 Ni 2.41-2.46
Zr 0.9904 0.9904 0.0287  9 Ni 2.74-2.91, 1 Mn 2.91
Zr 0.3791 0.3791 0.8627  12 Ni 2.81-2.94, 4 Zr 3.07-3.11
Mn 0.8690 0.8690 0.3929  12 Ni 2.73-2.94, 4 Zr 2.89-2.91
Ni 0.9410 0.4362 0.1866  6 Ni 2.41-2.46
Ni 0.9384 0.4374 0.6857  6 Ni 2.43-2.44
Ni 0.6884 0.6884 0.9349  6 Ni 2.44-2.46
Ni 0.4362 0.4362 0.1866  6 Ni 2.41-2.46
Ni 0.9384 0.9384 0.6857  6 Ni 2.43-2.44

---

# 17
Material: Zr2MnNi
Method: DFT, PBE
State: optimized geometry

Lattice parameters (Å, degrees): 4.5456 4.5456 4.5456 60.00 60.00 60.00
Closest atoms and distances in Å follow each position.
Fractional positions:
Ni 0.7500 0.7500 0.7500  4 Zr 2.78, 4 Mn 2.78
Mn 0.5000 0.5000 0.5000  4 Zr 2.78, 4 Ni 2.78
Zr 0.2500 0.2500 0.2500  4 Mn 2.78, 4 Zr 2.78
Zr 0.0000 0.0000 0.0000  4 Zr 2.78, 4 Ni 2.78

---

# 18
Material: Zr2MnNi9
Method: DFT, PBE
State: optimized geometry

Lattice parameters (Å, degrees): 4.8167 4.8167 8.3579 73.25 73.25 60.00
Closest atoms and distances in Å follow each position.
Fractional positions:
Ni 0.5854 0.0796 0.7496  7 Ni 2.38-2.44
Mn 0.0000 0.0000 0.0000  18 Ni 2.78-3.11
Ni 0.4146 0.9204 0.2504  7 Ni 2.38-2.44
Ni 0.6663 0.6663 0.0012  6 Ni 2.41-2.42
Ni 0.5854 0.5854 0.7496  7 Ni 2.38-2.44
Ni 0.3337 0.3337 0.9988  6 Ni 2.41-2.42
Zr 0.8645 0.8645 0.4066  9 Ni 2.70-2.88
Ni 0.9204 0.4146 0.2504  7 Ni 2.38-2.44
Ni 0.0796 0.5854 0.7496  7 Ni 2.38-2.44
Zr 0.1355 0.1355 0.5934  9 Ni 2.70-2.88
Ni 0.4146 0.4146 0.2504  7 Ni 2.38-2.44
Ni 0.5000 0.5000 0.5000  6 Ni 2.42

---

# 19
Material: ZrMn2Ni
Method: DFT, PBE
State: optimized geometry

Lattice parameters (Å, degrees): 5.0527 5.0527 5.0527 141.03 132.15 63.35
Closest atoms and distances in Å follow each position.
Fractional positions:
Ni 0.4923 0.4923 0.0000  6 Mn 2.59-2.65, 2 Zr 2.72
Mn 0.2638 0.7638 0.5000  2 Ni 2.59, 4 Zr 2.66, 2 Mn 2.81
Zr 0.7412 0.2412 0.5000  8 Mn 2.66-2.90, 4 Ni 2.72-2.98
Mn 0.0026 0.0026 0.0000  4 Ni 2.65, 4 Mn 2.81-2.90, 4 Zr 2.81-2.90

---

# 20
Material: Zr2Mn3Ni
Method: DFT, PBE
State: optimized geometry

Lattice parameters (Å, degrees): 4.8107 4.8107 5.0886 89.98 118.19 120.04
Closest atoms and distances in Å follow each position.
Fractional positions:
Ni 0.0000 0.0000 0.0000  6 Mn 2.54-2.55, 6 Zr 2.84
Mn 0.5000 0.0000 0.5000  4 Mn 2.41, 2 Ni 2.55
Mn 0.5000 0.5000 0.5000  4 Mn 2.40-2.41, 2 Ni 2.54
Zr 0.2404 0.6201 0.8605  3 Ni 2.84, 9 Mn 2.85-3.06, 4 Zr 3.02-3.07
Mn 0.0000 0.0000 0.5000  4 Mn 2.40-2.41, 2 Ni 2.54
Zr 0.7596 0.3799 0.1395  3 Ni 2.84, 9 Mn 2.85-3.06, 4 Zr 3.02-3.07

---

So what do the calculations give for E_form? Going down the list: -48, 12, 68, 370, -89, -30, 142, 798, 129, 122, 42, 18, 51, 1, 22, -446, 15, -256, 3, -137 kJ/mol of formula units.
So what do the calculations give for calculated volume? Going down the list: 15.6, 14.9, 14.7, 21.8, 16.4, 17.3, 15.0, 20.5, 15.5, 15.7, 17.3, 15.1, 17.4, 14.7, 14.3, 13.6, 16.6, 13.2, 14.9, 14.2 Å³/atom.
So what do the calculations give for total DFT energy (no corrections)? Going down the list: -6.3181, -8.1353, -7.9918, -7.3514, -8.2431, -8.0902, -7.8003, -6.7126, -7.8336, -7.8501, -7.9024, -8.1209, -7.8803, -8.1653, -8.1101, -7.1404, -7.9736, -6.7458, -8.1599, -8.6344 eV per atom.